Material: PrIn8Ir4
Method: DFT, PBE
State: relaxed

POSCAR file:
```
PrIn8Ir4
1.0
-4.2156 -0.8640 -3.9145
2.4849 -0.4158 -6.9069
-1.3617 -7.1093 -1.2868
Pr In Ir
1 8 4
Cartesian
0.0000 0.0000 0.0000 Pr
-0.0595 -4.8433 -3.1895 In
1.1827 -2.6818 -5.0043 In
-0.6842 -5.2701 -6.7450 In
-2.4082 -3.1191 -5.3632 In
-0.4667 -2.3161 -7.6313 In
-2.6257 -6.0730 -4.4769 In
-0.9367 -1.8932 -2.8960 In
-2.1558 -6.4960 -9.2123 In
-0.6809 -3.5547 -0.6434 Ir
-2.7887 -3.9867 -2.6007 Ir
1.2425 -0.2079 -3.4534 Ir
-0.8654 -0.6399 -5.4107 Ir
```

* VASP energy: -4.972 eV per atom
* magnetic moment: 0.0000 μB/atom
* mass density: 11.447 g/cm³
* V: 265 Å³/cell